# CoTe4 | Alexandria | PBEsol | relaxed
# raw total energy = -20.52 eV for the cell shown
# formation energy (no corrections) = 0.26 eV/atom
data_CoTe4
_cell_length_a 5.507
_cell_length_b 5.507
_cell_length_c 5.507
_cell_angle_alpha 109.47
_cell_angle_beta 109.47
_cell_angle_gamma 109.47
_symmetry_space_group_name_H-M 'P 1'
_symmetry_Int_Tables_number 1
loop_
_symmetry_equiv_pos_as_xyz
'x,y,z'
loop_
_atom_site_label
_atom_site_type_symbol
_atom_site_fract_x
_atom_site_fract_y
_atom_site_fract_z
Co1 Co 0.000 0.000 0.000
Te1 Te 0.000 0.000 0.500
Te2 Te 0.000 0.500 0.000
Te3 Te 0.500 0.000 0.000
Te4 Te 0.500 0.500 0.500